# 1
EuUNi2: optimized geometry, GGA-PBE.

Calculated values
Calculated formation energy = -0.05 eV per atom
Crystal system = tetragonal

a = 3.379 Å, b = 3.379 Å, c = 7.026 Å
α = 90.00°, β = 90.00°, γ = 90.00°
Space group P4/mmm (No. 123)
Symmetry-distinct sites (fractional):
Eu1 0.000 0.000 0.000 [1 per cell]
U1 0.000 0.000 0.500 [1 per cell]
Ni1 0.500 0.500 0.311 [2 per cell]

# 2
SnTe2N2: optimized geometry, GGA-PBE.

Calculated values
Formation energy from raw total energies = -0.05 eV per atom
Crystal system = monoclinic

a = 7.149 Å, b = 4.119 Å, c = 12.035 Å
α = 90.00°, β = 92.82°, γ = 90.00°
Space group C2/m (No. 12)
Symmetry-distinct sites (fractional):
Sn1 0.000 0.000 0.000 [2 per cell]
Te1 0.155 0.500 0.851 [4 per cell]
N1 0.055 0.000 0.469 [4 per cell]

The V results, record by record, are as follows: 80.2; 353.9 Å³ per cell.